DFT (SCAN) results for YGaCo at its PBEsol-relaxed geometry.

Lattice parameters (Å, degrees): 4.0550 6.6206 7.5304 90.00 90.00 90.00
Sites, in units of the cell vectors:
Y  0.7500  0.9740  0.8154
Y  0.7500  0.4740  0.6846
Y  0.2500  0.0260  0.1846
Y  0.2500  0.5260  0.3154
Ga  0.7500  0.8476  0.4358
Ga  0.7500  0.3476  0.0642
Ga  0.2500  0.1524  0.5642
Ga  0.2500  0.6524  0.9358
Co  0.7500  0.2252  0.3813
Co  0.7500  0.7252  0.1187
Co  0.2500  0.7748  0.6187
Co  0.2500  0.2748  0.8813

Calculated values
- Energy: -20.938 eV per atom
- DOS at the Fermi energy: 0.804 states/eV/atom

=====

DFT (SCAN) results for YGa3Co at its PBEsol-relaxed geometry.

Lattice parameters (Å, degrees): 4.4665 4.4665 4.4665 90.00 90.00 90.00
Sites, in units of the cell vectors:
Y  0.5000  0.5000  0.5000
Co  0.0000  0.0000  0.0000
Ga  0.0000  0.5000  0.0000
Ga  0.0000  0.0000  0.5000
Ga  0.5000  0.0000  0.0000

Calculated values
- Energy: -19.241 eV per atom
- DOS at the Fermi energy: 0.579 states/eV/atom

=====

DFT (SCAN) results for YGa5Co at its PBEsol-relaxed geometry.

Lattice parameters (Å, degrees): 4.1510 4.1510 6.7245 90.00 90.00 90.00
Sites, in units of the cell vectors:
Y  0.0000  0.0000  0.0000
Ga  0.0000  0.5000  0.3107
Ga  0.0000  0.5000  0.6893
Ga  0.5000  0.0000  0.3107
Ga  0.5000  0.0000  0.6893
Ga  0.5000  0.5000  0.0000
Co  0.0000  0.0000  0.5000

Calculated values
- Energy: -18.635 eV per atom
- DOS at the Fermi energy: 0.254 states/eV/atom

=====

DFT (SCAN) results for Zn2GaCo2 at its PBEsol-relaxed geometry.

Lattice parameters (Å, degrees): 3.6879 5.8803 5.8803 90.00 90.00 90.00
Sites, in units of the cell vectors:
Zn  0.5000  0.1603  0.6603
Zn  0.5000  0.6603  0.8397
Zn  0.5000  0.8397  0.3397
Zn  0.5000  0.3397  0.1603
Co  0.0000  0.3634  0.8634
Co  0.0000  0.8634  0.6366
Co  0.0000  0.6366  0.1366
Co  0.0000  0.1366  0.3634
Ga  0.0000  0.0000  0.0000
Ga  0.0000  0.5000  0.5000

Calculated values
- Energy: -15.561 eV per atom
- DOS at the Fermi energy: 0.301 states/eV/atom

=====

DFT (SCAN) results for ZnGaCo2 at its PBEsol-relaxed geometry.

Lattice parameters (Å, degrees): 4.0001 4.0001 4.0001 60.00 60.00 60.00
Sites, in units of the cell vectors:
Zn  0.0000  0.0000  0.0000
Co  0.2500  0.2500  0.2500
Co  0.7500  0.7500  0.7500
Ga  0.5000  0.5000  0.5000

Calculated values
- Energy: -16.188 eV per atom
- DOS at the Fermi energy: 0.435 states/eV/atom

=====

DFT (SCAN) results for ZrGaCo at its PBEsol-relaxed geometry.

Lattice parameters (Å, degrees): 3.3468 6.8145 6.8145 120.00 90.00 90.00
Sites, in units of the cell vectors:
Zr  0.5000  0.5945  0.0000
Zr  0.5000  0.4055  0.4055
Zr  0.5000  0.0000  0.5945
Ga  0.0000  0.2598  0.0000
Ga  0.0000  0.7402  0.7402
Ga  0.0000  0.0000  0.2598
Co  0.0000  0.3333  0.6667
Co  0.0000  0.6667  0.3333
Co  0.5000  0.0000  0.0000

Calculated values
- Energy: -22.020 eV per atom
- DOS at the Fermi energy: 0.635 states/eV/atom

=====

DFT (SCAN) results for GdCo2Ge2 at its PBEsol-relaxed geometry.

Lattice parameters (Å, degrees): 3.9168 3.9168 5.7284 109.99 109.99 90.00
Each line ends with the local moment (μB).
Sites, in units of the cell vectors:
Ge  0.6285  0.6285  0.2571  0.01
Ge  0.3715  0.3715  0.7429  0.01
Gd  0.0000  0.0000  0.0000  -7.11
Co  0.7500  0.2500  0.5000  0.04
Co  0.2500  0.7500  0.5000  0.04

Calculated values
- Energy: -26.905 eV per atom
- DOS at the Fermi energy: 0.423 states/eV/atom

=====

DFT (SCAN) results for GdCoSi3 at its PBEsol-relaxed geometry.

Lattice parameters (Å, degrees): 4.0260 4.0260 5.5232 111.37 111.37 90.00
Each line ends with the local moment (μB).
Sites, in units of the cell vectors:
Si  0.8374  0.3374  0.6747  -0.03
Si  0.3374  0.8374  0.6747  -0.03
Si  0.0052  0.0052  0.0105  -0.02
Gd  0.5795  0.5795  0.1590  7.05
Co  0.2365  0.2365  0.4731  -0.09

Calculated values
- Energy: -21.845 eV per atom
- DOS at the Fermi energy: 0.292 states/eV/atom

=====

Which value of DOS at the Fermi energy does entry 4 give? 0.301 states/eV/atom

=====

Which value of energy does entry 1 give? -20.938 eV per atom

=====

What is the formula in the second record? YGa3Co